Density functional theory data (GGA-PBE) for a relaxed structure of LiCaNi2.

- Calculated volume: 64.3 Å³/cell
- Distance to the lowest polymorph of the same formula: 231 meV per atom
- Formation energy: 0.1833 eV per atom

Cell: 4.497 4.497 4.497 Å, 60.00 60.00 60.00°
Element x y z (fractional)
Li (0.000, 0.000, 0.000)
Ca (0.500, 0.500, 0.500)
Ni (0.250, 0.250, 0.250)
Ni (0.750, 0.750, 0.750)